(1)
A plane-wave DFT calculation with PBE-GGA was carried out for a relaxed La3Tl crystal.

POSCAR file:
```
La3Tl
1.0
5.704 0.000 0.000
2.852 4.940 0.000
2.852 1.647 4.658
La Tl
3 1
direct
0.250 0.250 0.250
0.750 0.750 0.750
0.000 0.000 0.000
0.500 0.500 0.500
```

Calculated values
Total energy (eV per cell): -17.502
Symmetry: Fm-3m (225)
Energy of formation from the pure elements (eV/atom): -0.09

---

(2)
A plane-wave DFT calculation with PBE-GGA was carried out for a relaxed Ba4NaAu5 crystal.

POSCAR file:
```
Ba4NaAu5
1.0
-2.247 3.252 0.611
-2.555 -1.236 -2.818
-10.084 -9.465 13.292
Au Ba Na
5 4 1
direct
0.500 0.500 0.076
0.500 0.500 0.711
0.500 0.500 0.924
0.500 0.500 0.500
0.500 0.500 0.289
0.000 0.000 0.819
0.000 0.000 0.606
0.000 0.000 0.394
0.000 0.000 0.181
0.000 0.000 0.000
```

Calculated values
Total energy (eV per cell): -31.576
Symmetry: P4/mmm (123)
Energy of formation from the pure elements (eV/atom): -0.62

---

(3)
A plane-wave DFT calculation with PBE-GGA was carried out for a relaxed Rb2SbO2 crystal.

POSCAR file:
```
Rb2SbO2
1.0
5.077 0.000 0.000
0.000 5.077 0.000
2.539 2.539 4.911
Sb Rb O
1 2 2
direct
0.000 0.000 0.000
0.344 0.344 0.312
0.656 0.656 0.688
0.250 0.750 0.500
0.750 0.250 0.500
```

Calculated values
Total energy (eV per cell): -15.579
Symmetry: I4/mmm (139)
Formation energy without anion corrections (eV/atom): 0.079

---

(4)
A plane-wave DFT calculation with PBE-GGA was carried out for a relaxed BaAc2Gd crystal.

POSCAR file:
```
BaAc2Gd
1.0
-3.556 0.603 4.273
-4.323 -0.732 -3.495
0.182 -5.526 0.931
Ba Ac Gd
1 2 1
direct
0.500 0.000 0.000
0.000 0.500 0.000
0.000 0.000 0.500
0.500 0.500 0.500
```

Calculated values
Total energy (eV per cell): -23.638
Symmetry: P4/mmm (123)
Energy of formation from the pure elements (eV/atom): 0.15

---

(5)
A plane-wave DFT calculation with PBE-GGA was carried out for a relaxed LaBeAl crystal.

POSCAR file:
```
LaBeAl
1.0
6.173 0.013 -0.007
-0.009 4.245 -0.002
3.096 -2.121 4.928
La Be Al
2 2 2
direct
0.364 0.273 0.328
0.864 0.773 0.328
0.864 0.770 0.827
0.864 0.270 0.828
0.223 0.022 0.828
0.505 0.522 0.828
```

Calculated values
Total energy (eV per cell): -25.468
Symmetry: Cc (9)
Energy of formation from the pure elements (eV/atom): -0.11

---

(6)
A plane-wave DFT calculation with PBE-GGA was carried out for a relaxed Li2HoGaGe2 crystal.

POSCAR file:
```
Li2HoGaGe2
1.0
-3.003 -0.825 2.675
2.352 -6.621 0.600
4.766 2.241 6.043
Ge Li Ga Ho
4 4 2 2
direct
0.000 0.245 0.859
0.000 0.745 0.141
0.500 0.770 0.632
0.500 0.270 0.368
0.000 0.862 0.831
0.500 0.540 0.922
0.500 0.040 0.078
0.000 0.362 0.169
0.500 0.646 0.308
0.500 0.146 0.692
0.000 0.483 0.565
0.000 0.983 0.435
```

Calculated values
Total energy (eV per cell): -47.467
Symmetry: Pmc2_1 (26)
Energy of formation from the pure elements (eV/atom): -0.51

---

(7)
A plane-wave DFT calculation with PBE-GGA was carried out for a relaxed BaAlAg crystal.

POSCAR file:
```
BaAlAg
1.0
6.671 0.019 -0.007
4.644 4.790 0.007
-5.654 -2.414 2.592
Al Ba Ag
1 1 1
direct
0.375 0.375 0.000
0.668 0.668 0.000
0.957 0.957 0.000
```

Calculated values
Total energy (eV per cell): -8.698
Symmetry: I4mm (107)
Energy of formation from the pure elements (eV/atom): -0.06

---

(8)
A plane-wave DFT calculation with PBE-GGA was carried out for a relaxed NdDy5Cd4 crystal.

POSCAR file:
```
NdDy5Cd4
1.0
3.705 0.000 0.000
0.000 3.705 0.000
0.000 0.000 20.215
Cd Nd Dy
4 1 5
direct
0.000 0.000 0.595
0.000 0.000 0.405
0.000 0.000 0.218
0.000 0.000 0.782
0.000 0.000 0.000
0.500 0.500 0.876
0.500 0.500 0.500
0.500 0.500 0.687
0.500 0.500 0.124
0.500 0.500 0.313
```

Calculated values
Total energy (eV per cell): -33.869
Symmetry: P4/mmm (123)
Energy of formation from the pure elements (eV/atom): -0.24

---

(9)
A plane-wave DFT calculation with PBE-GGA was carried out for a relaxed Pm8Pr3Sm4 crystal.

POSCAR file:
```
Pm8Pr3Sm4
1.0
6.945 -0.108 -0.155
-3.306 8.632 1.617
-3.306 -1.480 8.657
Sm Pm Pr
4 8 3
direct
0.000 0.500 0.000
0.000 0.000 0.500
0.000 0.000 0.000
0.500 0.000 0.000
0.246 0.248 0.248
0.500 0.752 0.248
0.000 0.298 0.702
0.204 0.704 0.704
0.796 0.296 0.296
0.000 0.702 0.298
0.754 0.752 0.752
0.500 0.248 0.752
0.500 0.000 0.500
0.500 0.500 0.000
0.500 0.500 0.500
```

Calculated values
Total energy (eV per cell): -66.508
Symmetry: C2/m (12)
Energy of formation from the pure elements (eV/atom): 0.31

---

(10)
A plane-wave DFT calculation with PBE-GGA was carried out for a relaxed AcTmGe crystal.

POSCAR file:
```
AcTmGe
1.0
-2.919 -3.955 -1.577
4.800 -2.825 -1.800
1.983 -0.546 6.148
Ge Ac Tm
2 2 2
direct
0.230 0.014 0.461
0.770 0.514 0.539
0.100 0.514 0.200
0.900 0.014 0.800
0.381 0.513 0.762
0.619 0.013 0.238
```

Calculated values
Total energy (eV per cell): -28.514
Symmetry: Cmcm (63)
Energy of formation from the pure elements (eV/atom): -0.35

---

(11)
A plane-wave DFT calculation with PBE-GGA was carried out for a relaxed CeTiIr2 crystal.

POSCAR file:
```
CeTiIr2
1.0
3.062 0.000 0.000
0.000 3.062 0.000
0.000 0.000 7.497
Ir Ce Ti
2 1 1
direct
0.000 0.000 0.796
0.000 0.000 0.204
0.500 0.500 0.500
0.500 0.500 0.000
```

Calculated values
Total energy (eV per cell): -34.747
Symmetry: P4/mmm (123)
Energy of formation from the pure elements (eV/atom): -0.80

---

(12)
A plane-wave DFT calculation with PBE-GGA was carried out for a relaxed BaEuCdIn crystal.

POSCAR file:
```
BaEuCdIn
1.0
-4.768 3.271 0.669
-3.441 1.096 -4.565
-5.274 -2.442 -0.321
In Cd Eu Ba
1 1 1 1
direct
0.250 0.250 0.250
0.750 0.750 0.750
0.500 0.500 0.500
0.000 0.000 0.000
```

Calculated values
Total energy (eV per cell): -17.298
Symmetry: F-43m (216)
Energy of formation from the pure elements (eV/atom): -0.36